# 1
The following is a GGA-PBE calculation of a geometry-optimized PrCo5 structure, from the Alexandria database.

a = 3.8353 Å, b = 11.5323 Å, c = 3.8504 Å
α = 90.00°, β = 90.00°, γ = 90.00°
With the nearest neighbours (Å) after each atom.
Sites, in units of the cell vectors:
1 Pr 0.0000 0.0000 0.0000  12 Co 2.72-2.92
2 Pr 0.5000 0.5000 0.0000  12 Co 2.72-2.92
3 Co 0.0000 0.1900 0.5000  4 Co 2.36-2.37
4 Co 0.0000 0.3101 0.0000  4 Co 2.37
5 Co 0.0000 0.5000 0.5000  4 Pr 2.72, 8 Co 2.91-2.92
6 Co 0.0000 0.6899 0.0000  4 Co 2.37
7 Co 0.0000 0.8100 0.5000  4 Co 2.36-2.37
8 Co 0.5000 0.0000 0.5000  4 Pr 2.72, 8 Co 2.91-2.92
9 Co 0.5000 0.1899 0.0000  4 Co 2.37
10 Co 0.5000 0.3100 0.5000  4 Co 2.36-2.37
11 Co 0.5000 0.6900 0.5000  4 Co 2.36-2.37
12 Co 0.5000 0.8101 0.0000  4 Co 2.37

- Relative energy among the computed polymorphs: 252 meV per atom
- Energy relative to the elements: 0.238 eV per atom
- Crystal system: orthorhombic
- Volume: 170 Å³/cell
- Electronic total energy: -6.480 eV/atom

# 2
The following is a GGA-PBE calculation of a geometry-optimized PrCo2 structure, from the Alexandria database.

a = 3.9099 Å, b = 3.9099 Å, c = 4.2662 Å
α = 90.00°, β = 90.00°, γ = 120.00°
With the nearest neighbours (Å) after each atom.
Sites, in units of the cell vectors:
1 Pr 0.0000 0.0000 0.0000  12 Co 3.11
2 Co 0.3333 0.6667 0.5000  3 Co 2.26
3 Co 0.6667 0.3333 0.5000  3 Co 2.26

- Energy relative to the elements: -0.050 eV per atom
- Crystal system: hexagonal
- Volume: 56 Å³/cell
- Electronic total energy: -6.380 eV/atom

# 3
The following is a GGA-PBE calculation of a geometry-optimized Pr6Co structure, from the Alexandria database.

a = 12.4598 Å, b = 11.4474 Å, c = 6.5487 Å
α = 90.00°, β = 90.00°, γ = 90.00°
With the nearest neighbours (Å) after each atom.
Sites, in units of the cell vectors:
1 Pr 0.0031 0.2500 0.2262  1 Co 2.77
2 Pr 0.0056 0.0714 0.7494  1 Co 2.74
3 Pr 0.0056 0.4286 0.7494  1 Co 2.74
4 Pr 0.2439 0.2500 0.5886  1 Co 2.77
5 Pr 0.2489 0.0847 0.0842  1 Co 2.78
6 Pr 0.2489 0.4153 0.0842  1 Co 2.78
7 Pr 0.2511 0.5847 0.5842  1 Co 2.78
8 Pr 0.2511 0.9153 0.5842  1 Co 2.78
9 Pr 0.2561 0.7500 0.0886  1 Co 2.77
10 Pr 0.4944 0.5714 0.2494  1 Co 2.74
11 Pr 0.4944 0.9286 0.2494  1 Co 2.74
12 Pr 0.4969 0.7500 0.7262  1 Co 2.77
13 Pr 0.5031 0.2500 0.2738  1 Co 2.77
14 Pr 0.5056 0.0714 0.7506  1 Co 2.74
15 Pr 0.5056 0.4286 0.7506  1 Co 2.74
16 Pr 0.7439 0.2500 0.9114  1 Co 2.77
17 Pr 0.7489 0.0847 0.4158  1 Co 2.78
18 Pr 0.7489 0.4153 0.4158  1 Co 2.78
19 Pr 0.7511 0.5847 0.9158  1 Co 2.78
20 Pr 0.7511 0.9153 0.9158  1 Co 2.78
21 Pr 0.7561 0.7500 0.4114  1 Co 2.77
22 Pr 0.9944 0.5714 0.2506  1 Co 2.74
23 Pr 0.9944 0.9286 0.2506  1 Co 2.74
24 Pr 0.9969 0.7500 0.7738  1 Co 2.77
25 Co 0.1138 0.7500 0.4134  6 Pr 2.74-2.78
26 Co 0.3862 0.2500 0.9134  6 Pr 2.74-2.78
27 Co 0.6138 0.7500 0.0866  6 Pr 2.74-2.78
28 Co 0.8862 0.2500 0.5866  6 Pr 2.74-2.78

- Energy relative to the elements: 0.014 eV per atom
- Crystal system: orthorhombic
- Volume: 934 Å³/cell
- Electronic total energy: -5.097 eV/atom

# 4
The following is a GGA-PBE calculation of a geometry-optimized Pr4Co structure, from the Alexandria database.

a = 7.4586 Å, b = 7.4586 Å, c = 7.4586 Å
α = 109.23°, β = 109.23°, γ = 109.95°
With the nearest neighbours (Å) after each atom.
Sites, in units of the cell vectors:
1 Pr 0.0817 0.3772 0.2936  1 Co 2.64
2 Pr 0.0836 0.7881 0.7064  1 Co 2.64
3 Pr 0.1272 0.3317 0.7936  1 Co 2.64
4 Pr 0.2119 0.9183 0.2955  1 Co 2.64
5 Pr 0.5381 0.3336 0.2064  1 Co 2.64
6 Pr 0.6228 0.9164 0.7045  1 Co 2.64
7 Pr 0.6664 0.8728 0.2045  1 Co 2.64
8 Pr 0.6683 0.4619 0.7955  1 Co 2.64
9 Co 0.0000 0.0000 0.0000  4 Pr 2.64
10 Co 0.7500 0.2500 0.5000  4 Pr 2.64

- Relative energy among the computed polymorphs: 0 meV per atom
- Energy relative to the elements: -0.037 eV per atom
- Crystal system: tetragonal
- Volume: 319 Å³/cell
- Electronic total energy: -5.282 eV/atom

# 5
The following is a GGA-PBE calculation of a geometry-optimized PrCo2 structure, from the Alexandria database.

a = 5.1992 Å, b = 5.1992 Å, c = 5.1992 Å
α = 60.00°, β = 60.00°, γ = 60.00°
With the nearest neighbours (Å) after each atom.
Sites, in units of the cell vectors:
1 Pr 0.1250 0.1250 0.1250  12 Co 3.05, 4 Pr 3.18
2 Pr 0.8750 0.8750 0.8750  12 Co 3.05, 4 Pr 3.18
3 Co 0.0000 0.5000 0.5000  6 Co 2.60
4 Co 0.5000 0.0000 0.5000  6 Co 2.60
5 Co 0.5000 0.5000 0.0000  6 Co 2.60
6 Co 0.5000 0.5000 0.5000  6 Co 2.60

- Energy relative to the elements: 0.013 eV per atom
- Crystal system: cubic
- Volume: 99 Å³/cell
- Electronic total energy: -6.317 eV/atom

# 6
The following is a GGA-PBE calculation of a geometry-optimized Pr3Co structure, from the Alexandria database.

a = 11.8406 Å, b = 11.8406 Å, c = 6.5628 Å
α = 90.00°, β = 90.00°, γ = 90.00°
With the nearest neighbours (Å) after each atom.
Sites, in units of the cell vectors:
1 Pr 0.0336 0.5931 0.1915  2 Co 2.76-2.79
2 Pr 0.0931 0.9664 0.6915  2 Co 2.76-2.79
3 Pr 0.1113 0.6719 0.6924  1 Co 3.05
4 Pr 0.1246 0.1860 0.0215  3 Co 2.80-3.13
5 Pr 0.1719 0.8887 0.1924  1 Co 3.05
6 Pr 0.1860 0.3754 0.4785  3 Co 2.80-3.13
7 Pr 0.3140 0.1246 0.4785  3 Co 2.80-3.13
8 Pr 0.3281 0.6113 0.1924  1 Co 3.05
9 Pr 0.3754 0.3140 0.0215  3 Co 2.80-3.13
10 Pr 0.3887 0.8281 0.6924  1 Co 3.05
11 Pr 0.4069 0.5336 0.6915  2 Co 2.76-2.79
12 Pr 0.4664 0.9069 0.1915  2 Co 2.76-2.79
13 Pr 0.5336 0.0931 0.8085  2 Co 2.76-2.79
14 Pr 0.5931 0.4664 0.3085  2 Co 2.76-2.79
15 Pr 0.6113 0.1719 0.3076  1 Co 3.05
16 Pr 0.6246 0.6860 0.9785  3 Co 2.80-3.13
17 Pr 0.6719 0.3887 0.8076  1 Co 3.05
18 Pr 0.6860 0.8754 0.5215  3 Co 2.80-3.13
19 Pr 0.8140 0.6246 0.5215  3 Co 2.80-3.13
20 Pr 0.8281 0.1113 0.8076  1 Co 3.05
21 Pr 0.8754 0.8140 0.9785  3 Co 2.80-3.13
22 Pr 0.8887 0.3281 0.3076  1 Co 3.05
23 Pr 0.9069 0.0336 0.3085  2 Co 2.76-2.79
24 Pr 0.9664 0.4069 0.8085  2 Co 2.76-2.79
25 Co 0.0675 0.1710 0.4868  5 Pr 2.76-3.05
26 Co 0.1710 0.4325 0.0132  5 Pr 2.76-3.05
27 Co 0.3290 0.0675 0.0132  5 Pr 2.76-3.05
28 Co 0.4325 0.3290 0.4868  5 Pr 2.76-3.05
29 Co 0.5675 0.6710 0.5132  5 Pr 2.76-3.05
30 Co 0.6710 0.9325 0.9868  5 Pr 2.76-3.05
31 Co 0.8290 0.5675 0.9868  5 Pr 2.76-3.05
32 Co 0.9325 0.8290 0.5132  5 Pr 2.76-3.05

- Energy relative to the elements: 0.033 eV per atom
- Crystal system: tetragonal
- Volume: 920 Å³/cell
- Electronic total energy: -5.328 eV/atom

no.,total moment (μB/f.u.)
1,6.693
2,1.470
3,0.001
4,0.000
5,1.796
6,0.000